# 1
## Ba2Sn3Pt4Pb (PBE)

Data for an optimized crystal structure of Ba2Sn3Pt4Pb.

Summary:
SG	P-4m2 (115)
DFT total energy	-5.103	eV/atom
formation energy from the elements	-0.731	eV/atom

POSCAR file:
```
Ba2Sn3Pt4Pb
1.0
-2.447 -2.467 3.373
3.685 0.569 3.090
-4.396 9.209 3.547
Sn Pt Ba Pb
3 4 2 1
direct
0.000 0.500 0.116
0.500 0.000 0.884
0.000 0.000 0.500
0.000 0.000 0.000
0.000 0.500 0.367
0.500 0.000 0.633
0.500 0.500 0.000
0.500 0.000 0.244
0.000 0.500 0.756
0.500 0.500 0.500
```

***

# 2
## Ba2SnPtPb (PBE)

Data for an optimized crystal structure of Ba2SnPtPb.

Summary:
SG	P4/mmm (123)
DFT total energy	-4.058	eV/atom
formation energy from the elements	-0.539	eV/atom

POSCAR file:
```
Ba2SnPtPb
1.0
6.148 0.000 0.000
0.000 6.148 0.000
0.000 0.000 5.118
Ba Pb Sn Pt
2 1 1 1
direct
0.000 0.500 0.000
0.500 0.000 0.000
0.500 0.500 0.500
0.000 0.000 0.500
0.000 0.000 0.000
```

***

# 3
## Ba2Sn4Pt3Pb (PBE)

Data for an optimized crystal structure of Ba2Sn4Pt3Pb.

Summary:
SG	P-4m2 (115)
DFT total energy	-4.828	eV/atom
formation energy from the elements	-0.659	eV/atom

POSCAR file:
```
Ba2Sn4Pt3Pb
1.0
4.844 0.000 0.000
0.000 4.844 0.000
0.000 0.000 11.293
Pt Ba Sn Pb
3 2 4 1
direct
0.500 0.000 0.886
0.000 0.000 0.500
0.000 0.500 0.114
0.500 0.000 0.246
0.000 0.500 0.754
0.500 0.000 0.648
0.500 0.500 0.000
0.000 0.500 0.352
0.000 0.000 0.000
0.500 0.500 0.500
```

***

# 4
## Ba2SrPtPb (PBE)

Data for an optimized crystal structure of Ba2SrPtPb.

Summary:
SG	P4/mmm (123)
DFT total energy	-3.569	eV/atom
formation energy from the elements	-0.514	eV/atom

POSCAR file:
```
Ba2SrPtPb
1.0
6.080 0.000 0.000
0.000 6.080 0.000
0.000 0.000 5.862
Sr Ba Pb Pt
1 2 1 1
direct
0.000 0.000 0.500
0.000 0.500 0.000
0.500 0.000 0.000
0.500 0.500 0.500
0.000 0.000 0.000
```

***

# 5
## BaTcPtPb2 (PBE)

Data for an optimized crystal structure of BaTcPtPb2.

Summary:
SG	P4/mmm (123)
DFT total energy	-4.672	eV/atom
formation energy from the elements	0.477	eV/atom

POSCAR file:
```
BaTcPtPb2
1.0
-0.760 -5.123 1.511
3.788 0.556 3.790
-3.760 1.598 3.523
Ba Pt Pb Tc
1 1 2 1
direct
0.500 0.500 0.500
0.000 0.000 0.000
0.000 0.000 0.500
0.500 0.000 0.000
0.000 0.500 0.000
```

***

# 6
## BaTcPtPb2 (PBE)

Data for an optimized crystal structure of BaTcPtPb2.

Summary:
SG	P4/mmm (123)
DFT total energy	-4.682	eV/atom
formation energy from the elements	0.467	eV/atom

POSCAR file:
```
BaTcPtPb2
1.0
5.239 0.000 0.000
0.000 5.635 0.000
0.000 0.000 5.239
Tc Pt Pb Ba
1 1 2 1
direct
0.000 0.000 0.000
0.500 0.500 0.500
0.500 0.000 0.000
0.000 0.000 0.500
0.000 0.500 0.000
```